# GdDy2Ag

A relaxed GdDy2Ag crystal (PBE, Alexandria).

```
GdDy2Ag
1.0
-1.3257 0.5629 3.2420
-3.4878 -0.3108 0.5686
-0.3228 -10.1035 3.5633
Dy Gd Ag
2 1 1
direct
0.2590 0.2590 0.2231
0.7410 0.7410 0.7769
0.5000 0.5000 0.5000
0.0000 0.0000 0.0000
```

Summary:
ΔE to the lowest computed polymorph   110.9 meV/atom
Total moment   7.280 μB/f.u.
SG   R-3m, No. 166
Total DFT energy (no corrections)   -26.2 eV per cell
E_form   -0.01 eV/atom